Entry 1:
Material: Ca2TcRh
Method: DFT, GGA-PBE
State: relaxed

Calculated values
relative energy among the computed polymorphs = 257 meV/atom
DFT formation energy = 0.399 eV/atom

Geometry as CIF:
```
data_Ca2TcRh
_cell_length_a 4.871
_cell_length_b 4.871
_cell_length_c 6.878
_cell_angle_alpha 90.00
_cell_angle_beta 90.00
_cell_angle_gamma 90.00
_symmetry_space_group_name_H-M 'I -4 m 2'
_symmetry_Int_Tables_number 119
_symmetry_space_group_name_Hall 'I -4 -2'
loop_
_atom_site_label
_atom_site_fract_x
_atom_site_fract_y
_atom_site_fract_z
Ca1 0.000 0.000 0.000
Ca2 0.000 0.500 0.250
Tc1 0.000 0.000 0.500
Rh1 0.000 0.500 0.750
```



Entry 2:
Material: Sm10Er4Tm
Method: DFT, GGA-PBE
State: relaxed

Calculated values
DFT formation energy = 0.702 eV/atom

Geometry as CIF:
```
data_Sm10Er4Tm
_cell_length_a 12.223
_cell_length_b 12.223
_cell_length_c 7.712
_cell_angle_alpha 90.00
_cell_angle_beta 90.00
_cell_angle_gamma 90.00
_symmetry_space_group_name_H-M 'I 4/m'
_symmetry_Int_Tables_number 87
_symmetry_space_group_name_Hall '-I 4'
loop_
_atom_site_label
_atom_site_fract_x
_atom_site_fract_y
_atom_site_fract_z
Sm1 0.000 0.500 0.250
Sm2 0.099 0.200 0.250
Er1 0.100 0.701 0.000
Tm1 0.000 0.000 0.500
```



Entry 3:
Material: Tl2SiAu
Method: DFT, GGA-PBE
State: relaxed

Calculated values
relative energy among the computed polymorphs = 344 meV/atom
raw formation energy = 0.37 eV per atom

Geometry as CIF:
```
data_Tl2SiAu
_cell_length_a 3.408
_cell_length_b 4.131
_cell_length_c 6.733
_cell_angle_alpha 90.00
_cell_angle_beta 99.02
_cell_angle_gamma 90.00
_symmetry_space_group_name_H-M 'P 1 2/m 1'
_symmetry_Int_Tables_number 10
loop_
_symmetry_equiv_pos_as_xyz
'x,y,z'
'-x,-y,-z'
'-x,y,-z'
'x,-y,z'
loop_
_atom_site_label
_atom_site_fract_x
_atom_site_fract_y
_atom_site_fract_z
Tl1 0.011 0.000 0.252
Si1 0.500 0.500 0.500
Au1 0.500 0.500 0.000
```



Entry 4:
Material: Ho5Pa3As8
Method: DFT, GGA-PBE
State: relaxed

Calculated values
DFT formation energy = -1.343 eV/atom

Geometry as CIF:
```
data_Ho5Pa3As8
_cell_length_a 8.1882
_cell_length_b 8.1882
_cell_length_c 20.0152
_cell_angle_alpha 90.00
_cell_angle_beta 90.00
_cell_angle_gamma 120.00
_symmetry_space_group_name_H-M 'R -3 m'
_symmetry_Int_Tables_number 166
_symmetry_space_group_name_Hall '-R 3 2"'
loop_
_atom_site_label
_atom_site_fract_x
_atom_site_fract_y
_atom_site_fract_z
Ho1 0.0000 0.0000 0.0000
Ho2 0.0000 0.0000 0.5000
Ho3 0.0000 0.5000 0.0000
Pa1 0.0000 0.5000 0.5000
As1 0.0000 0.0000 0.2502
As2 0.0012 0.5006 0.7505
```



How do the records compare in density of states at the Fermi level? In the order shown, they have 4.8; 20.1; 1.2; 13.9 states/eV/f.u..
How do the records compare in E? In the order shown, they have -5.031; -3.959; -2.987; -6.878 eV/atom.